1.
An optimized crystal structure of Ce2PmDy. Source: Alexandria via LeMat-Bulk, functional PBE.

a = 3.383 Å, b = 3.383 Å, c = 37.065 Å
α = 90.00°, β = 90.00°, γ = 120.00°
Positions (direct):
Ce (0.000, 0.000, 0.085)
Ce (0.000, 0.000, 0.915)
Ce (0.333, 0.667, 0.582)
Ce (0.333, 0.667, 0.752)
Ce (0.667, 0.333, 0.248)
Ce (0.667, 0.333, 0.418)
Pm (0.000, 0.000, 0.500)
Pm (0.333, 0.667, 0.167)
Pm (0.667, 0.333, 0.833)
Dy (0.000, 0.000, 0.000)
Dy (0.333, 0.667, 0.667)
Dy (0.667, 0.333, 0.333)

Results
**M_tot**: 4.78 μB per cell
**Crystal system**: trigonal
**Electronic total energy**: -5.06 eV per atom


2.
An optimized crystal structure of Zr4CoSb. Source: Alexandria via LeMat-Bulk, functional PBE.

a = 5.671 Å, b = 5.671 Å, c = 5.671 Å
α = 60.00°, β = 60.00°, γ = 60.00°
Positions (direct):
Zr (0.125, 0.125, 0.125)
Zr (0.125, 0.125, 0.626)
Zr (0.125, 0.626, 0.125)
Zr (0.626, 0.125, 0.125)
Co (0.750, 0.750, 0.750)
Sb (0.500, 0.500, 0.500)

Results
**M_tot**: 0.68 μB per cell
**Formation energy without anion corrections**: 0.4154 eV per atom
**Crystal system**: cubic
**Electronic total energy**: -7.15 eV per atom


3.
An optimized crystal structure of BaLiCd2Pt. Source: Alexandria via LeMat-Bulk, functional PBE.

a = 5.324 Å, b = 5.324 Å, c = 4.943 Å
α = 90.00°, β = 90.00°, γ = 90.00°
Positions (direct):
Ba (0.000, 0.000, 0.000)
Li (0.500, 0.500, 0.000)
Cd (0.000, 0.500, 0.500)
Cd (0.500, 0.000, 0.500)
Pt (0.500, 0.500, 0.500)

Results
**M_tot**: 0.00 μB per cell
**Crystal system**: tetragonal
**Electronic total energy**: -2.69 eV per atom


4.
An optimized crystal structure of K3Hg3Au2. Source: Alexandria via LeMat-Bulk, functional PBE.

a = 6.469 Å, b = 6.469 Å, c = 17.208 Å
α = 90.00°, β = 90.00°, γ = 135.24°
Positions (direct):
K (0.075, 0.925, 0.605)
K (0.075, 0.925, 0.895)
K (0.361, 0.639, 0.750)
K (0.639, 0.361, 0.250)
K (0.925, 0.075, 0.105)
K (0.925, 0.075, 0.395)
Hg (0.349, 0.651, 0.250)
Hg (0.367, 0.633, 0.534)
Hg (0.367, 0.633, 0.966)
Hg (0.633, 0.367, 0.034)
Hg (0.633, 0.367, 0.466)
Hg (0.651, 0.349, 0.750)
Au (0.215, 0.785, 0.110)
Au (0.215, 0.785, 0.390)
Au (0.785, 0.215, 0.610)
Au (0.785, 0.215, 0.890)

Results
**M_tot**: 0.00 μB per cell
**Crystal system**: orthorhombic
**Electronic total energy**: -1.65 eV per atom


5.
An optimized crystal structure of RbBe2PbSe. Source: Alexandria via LeMat-Bulk, functional PBE.

a = 5.540 Å, b = 5.540 Å, c = 7.145 Å
α = 90.00°, β = 90.00°, γ = 90.00°
Positions (direct):
Rb (0.000, 0.000, 0.000)
Be (0.000, 0.500, 0.000)
Be (0.500, 0.000, 0.000)
Pb (0.500, 0.500, 0.500)
Se (0.000, 0.000, 0.500)

Results
**M_tot**: 0.00 μB per cell
**Formation energy without anion corrections**: 1.6542 eV per atom
**Crystal system**: tetragonal
**Electronic total energy**: -1.47 eV per atom


6.
An optimized crystal structure of ThBeGeOs. Source: Alexandria via LeMat-Bulk, functional PBE.

a = 4.136 Å, b = 4.136 Å, c = 8.764 Å
α = 90.00°, β = 90.00°, γ = 90.00°
Positions (direct):
Th (0.250, 0.250, 0.250)
Th (0.750, 0.750, 0.750)
Be (0.250, 0.250, 0.628)
Be (0.750, 0.750, 0.372)
Ge (0.250, 0.250, 0.907)
Ge (0.750, 0.750, 0.093)
Os (0.250, 0.750, 0.500)
Os (0.750, 0.250, 0.500)

Results
**M_tot**: 0.00 μB per cell
**Crystal system**: tetragonal
**Electronic total energy**: -7.06 eV per atom


Q: Look up the M_tot of the sixth one.
A: 0.00 μB per cell


Q: Look up the M_tot of the sixth one.
A: 0.00 μB per cell


Q: What is the electronic total energy in the fourth record?
A: -1.65 eV per atom